This record from Alexandria describes an optimized crystal structure of AcGaNiO4. The functional is GGA+U.

Calculated values
Energy = -0.449 Ry per atom
Size of the total moment = 3.99 μB/cell

Cell lengths 6.540, 6.494, 6.494 Å; angles 65.48, 59.77, 59.77 degrees
Last column: magnetic moment on the atom in μB.
Atoms (fractional coordinates):
Ni: 0.500 0.000 0.500  1.73
O: 0.278 0.240 0.205  0.09
O: 0.239 0.774 0.274  0.02
O: 0.722 0.295 0.260  0.09
Ac: 0.000 0.500 0.500  0.00
Ga: 0.397 0.353 0.853  0.01
Ni: 0.000 0.000 0.500  1.73
Ga: 0.603 0.647 0.147  0.01
O: 0.287 0.226 0.726  0.02
O: 0.722 0.760 0.795  0.09
O: 0.713 0.774 0.274  0.02
O: 0.761 0.226 0.726  0.02
Ac: 0.000 0.000 0.000  0.00
O: 0.278 0.705 0.740  0.09